## Cs2Mo2O7 (GGA+U)

Data for a geometry-optimized Cs2Mo2O7 structure.

Summary:
**Spin magnetization**: 0.14 μB/f.u.
**SG**: C2/m
**E_tot**: -70.44 eV/cell

CIF file:
```
data_Cs2Mo2O7
_cell_length_a 5.770
_cell_length_b 7.331
_cell_length_c 7.331
_cell_angle_alpha 106.24
_cell_angle_beta 96.24
_cell_angle_gamma 96.24
_symmetry_space_group_name_H-M 'P 1'
_symmetry_Int_Tables_number 1
_symmetry_space_group_name_Hall 'P 1'
loop_
_atom_site_label
_atom_site_type_symbol
_atom_site_fract_x
_atom_site_fract_y
_atom_site_fract_z
O1 O 0.251 0.349 0.103
Cs1 Cs 0.000 0.307 0.693
O2 O 0.323 0.656 0.656
O3 O 0.749 0.897 0.651
O4 O 0.251 0.103 0.349
Cs2 Cs 0.000 0.693 0.307
O5 O 0.749 0.651 0.897
O6 O 0.500 0.000 0.000
Mo1 Mo 0.582 0.798 0.798
Mo2 Mo 0.418 0.202 0.202
O7 O 0.677 0.344 0.344
```